4
Lattice="3.0377 0.0000 0.0000 0.0000 5.3644 0.0000 0.0000 -2.6822 5.8190" Properties=species:S:1:pos:R:3 comment="PbSe2Cl (PBEsol, relaxed)" dos_ef_per_ev_fu=2.02 e_tot_ev_per_atom=-3.522 mass_density_g_cm3=7.0 magnetic_moment_mub_per_atom=0.0001 formation_energy_uncorrected_ev_per_atom=-0.09 pbc="T T T"
Pb 1.5189 2.6822 0.0000
Se 0.0000 -1.3411 2.9095
Se 0.0000 1.3411 2.9095
Cl 1.5189 0.0000 0.0000